1.
Below is a relaxed structure of AsBr2F, with properties calculated at the PBE level.

Total magnetic moment: 0.000 μB per atom
Fermi-level density of states: 0.00 states/eV per cell
E above lowest polymorph: 753 meV per atom
Formation energy without anion corrections: -0.234 eV/atom

abc: 8.3862 8.3862 8.3862
angles: 25.86 25.86 25.86
Positions (direct):
As (0.5000, 0.5000, 0.5000)
Br (0.0950, 0.0950, 0.0950)
Br (0.9050, 0.9050, 0.9050)
F (0.0000, 0.0000, 0.0000)

2.
Below is a relaxed structure of NaPmMgZn, with properties calculated at the PBE level.

Total energy: -2.2759 eV per atom
Total magnetic moment: 0.000 μB per atom
Fermi-level density of states: 1.50 states/eV per cell

abc: 5.1038 5.1038 5.1038
angles: 60.00 60.00 60.00
Positions (direct):
Pm (0.5000, 0.5000, 0.5000)
Zn (0.2500, 0.2500, 0.2500)
Na (0.7500, 0.7500, 0.7500)
Mg (0.0000, 0.0000, 0.0000)

3.
Below is a relaxed structure of Hf6GaO, with properties calculated at the PBE level.

Total magnetic moment: 0.000 μB per atom
Fermi-level density of states: 5.92 states/eV per cell
Formation energy without anion corrections: -0.509 eV/atom

abc: 5.7928 5.8139 6.4059
angles: 63.28 63.52 60.12
Positions (direct):
Ga (0.5000, 0.5000, 0.5000)
Hf (0.9653, 0.5841, 0.2259)
Hf (0.4152, 0.7751, 0.7751)
O (0.0000, 0.0000, 0.0000)
Hf (0.0347, 0.4159, 0.7741)
Hf (0.2250, 0.9676, 0.2264)
Hf (0.5848, 0.2249, 0.2249)
Hf (0.7750, 0.0324, 0.7736)

4.
Below is a relaxed structure of BaInNF2, with properties calculated at the PBE level.

Total magnetic moment: 0.400 μB per atom
Fermi-level density of states: 1.89 states/eV per cell
E above lowest polymorph: 629 meV per atom
Formation energy without anion corrections: -1.130 eV/atom

abc: 5.0221 5.0221 5.5132
angles: 90.00 90.00 90.00
Last column: magnetic moment on the atom in μB.
Positions (direct):
In (0.5000, 0.5000, 0.5000)  0.01
F (0.0000, 0.5000, 0.0000)  0.00
N (0.0000, 0.0000, 0.5000)  1.28
F (0.5000, 0.0000, 0.0000)  0.00
Ba (0.0000, 0.0000, 0.0000)  0.03

5.
Below is a relaxed structure of Ta11Mo5, with properties calculated at the PBE level.

Total energy: -11.6232 eV per atom
Total magnetic moment: 0.000 μB per atom
Fermi-level density of states: 16.98 states/eV per cell

abc: 6.5120 6.5274 6.5396
angles: 89.56 90.00 90.00
Positions (direct):
Ta (0.5000, 0.9957, 0.0063)
Ta (0.0000, 0.9937, 0.4944)
Ta (0.5000, 0.5087, 0.4934)
Ta (0.2478, 0.2517, 0.7483)
Ta (0.2472, 0.2530, 0.2528)
Ta (0.7528, 0.2530, 0.2528)
Ta (0.7522, 0.2517, 0.7483)
Ta (0.7526, 0.7470, 0.7472)
Mo (0.2484, 0.7487, 0.2510)
Mo (0.0000, 0.5018, 0.4960)
Mo (0.0000, 0.4999, 0.0006)
Mo (0.5000, 0.0010, 0.4994)
Ta (0.0000, 0.9919, 0.0064)
Ta (0.2474, 0.7470, 0.7472)
Ta (0.5000, 0.5064, 0.0049)
Mo (0.7516, 0.7487, 0.2510)

6.
Below is a relaxed structure of CeLuAgSn, with properties calculated at the PBE level.

Total energy: -4.7218 eV per atom
Total magnetic moment: 0.394 μB per atom
Fermi-level density of states: 10.03 states/eV per cell

abc: 5.2675 5.2675 5.2675
angles: 60.00 60.00 60.00
Last column: magnetic moment on the atom in μB.
Positions (direct):
Lu (0.0000, 0.0000, 0.0000)  -0.20
Ag (0.7500, 0.7500, 0.7500)  -0.03
Ce (0.5000, 0.5000, 0.5000)  -0.94
Sn (0.2500, 0.2500, 0.2500)  0.02